# 1
# MnBeBiP GGA-PBE relaxed
# **Total energy**: -21.62 eV per formula unit
# **Space group**: Pmm2
# **Density of states at the Fermi level**: 1.7 states/eV/f.u.
data_MnBeBiP
_chemical_formula_sum 'Mn1 Be1 Bi1 P1'
_cell_length_a 3.1516
_cell_length_b 3.0907
_cell_length_c 6.9494
_cell_angle_alpha 90.00
_cell_angle_beta 90.00
_cell_angle_gamma 90.00
_symmetry_space_group_name_H-M 'P 1'
_symmetry_Int_Tables_number 1
loop_
_symmetry_equiv_pos_as_xyz
'x,y,z'
loop_
_atom_site_label
_atom_site_type_symbol
_atom_site_fract_x
_atom_site_fract_y
_atom_site_fract_z
P1 P 0.5000 0.5000 0.4856
Be1 Be 0.0000 0.5000 0.2897
Mn1 Mn 0.0000 0.0000 0.5839
Bi1 Bi 0.0000 0.0000 0.9734

---

# 2
# MnBeBiP GGA-PBE relaxed
# **Total energy**: -21.13 eV per formula unit
# **Space group**: Cm
# **Density of states at the Fermi level**: 2.6 states/eV/f.u.
data_MnBeBiP
_chemical_formula_sum 'Mn1 Be1 Bi1 P1'
_cell_length_a 3.5673
_cell_length_b 4.7242
_cell_length_c 4.7542
_cell_angle_alpha 90.78
_cell_angle_beta 90.06
_cell_angle_gamma 112.13
_symmetry_space_group_name_H-M 'P 1'
_symmetry_Int_Tables_number 1
loop_
_symmetry_equiv_pos_as_xyz
'x,y,z'
loop_
_atom_site_label
_atom_site_type_symbol
_atom_site_fract_x
_atom_site_fract_y
_atom_site_fract_z
Be1 Be 0.7580 0.5511 0.0252
Mn1 Mn 0.7563 0.5461 0.5271
Bi1 Bi 0.4747 0.9838 0.7049
P1 P 0.2362 0.5066 0.2689

---

# 3
# MnBeBiP GGA-PBE relaxed
# **Total energy**: -22.19 eV per formula unit
# **Space group**: P3m1
# **Density of states at the Fermi level**: 2.1 states/eV/f.u.
data_MnBeBiP
_chemical_formula_sum 'Mn1 Be1 Bi1 P1'
_cell_length_a 3.6837
_cell_length_b 3.6837
_cell_length_c 5.7941
_cell_angle_alpha 90.00
_cell_angle_beta 90.00
_cell_angle_gamma 120.00
_symmetry_space_group_name_H-M 'P 1'
_symmetry_Int_Tables_number 1
loop_
_symmetry_equiv_pos_as_xyz
'x,y,z'
loop_
_atom_site_label
_atom_site_type_symbol
_atom_site_fract_x
_atom_site_fract_y
_atom_site_fract_z
Bi1 Bi 0.0000 0.0000 0.9884
Mn1 Mn 0.6667 0.3333 0.6564
P1 P 0.3333 0.6667 0.5669
Be1 Be 0.0000 0.0000 0.4557

---

# 4
# MnBeBiP GGA-PBE relaxed
# **Total energy**: -22.11 eV per formula unit
# **Space group**: R3m
# **Density of states at the Fermi level**: 1.8 states/eV/f.u.
data_MnBeBiP
_chemical_formula_sum 'Mn3 Be3 Bi3 P3'
_cell_length_a 3.5909
_cell_length_b 3.5909
_cell_length_c 19.4487
_cell_angle_alpha 90.00
_cell_angle_beta 90.00
_cell_angle_gamma 120.00
_symmetry_space_group_name_H-M 'P 1'
_symmetry_Int_Tables_number 1
loop_
_symmetry_equiv_pos_as_xyz
'x,y,z'
loop_
_atom_site_label
_atom_site_type_symbol
_atom_site_fract_x
_atom_site_fract_y
_atom_site_fract_z
Be1 Be 0.6667 0.3333 0.8165
Be2 Be 0.3333 0.6667 0.1499
Be3 Be 0.0000 0.0000 0.4832
P1 P 0.3333 0.6667 0.8293
P2 P 0.6667 0.3333 0.4959
P3 P 0.0000 0.0000 0.1626
Bi1 Bi 0.3333 0.6667 0.0069
Bi2 Bi 0.0000 0.0000 0.3402
Bi3 Bi 0.6667 0.3333 0.6735
Mn1 Mn 0.6667 0.3333 0.2364
Mn2 Mn 0.3333 0.6667 0.5698
Mn3 Mn 0.0000 0.0000 0.9031

---

# 5
# MnBeBiP GGA-PBE relaxed
# **Total energy**: -22.14 eV per formula unit
# **Space group**: Cm
# **Density of states at the Fermi level**: 1.7 states/eV/f.u.
data_MnBeBiP
_chemical_formula_sum 'Mn2 Be2 Bi2 P2'
_cell_length_a 7.1811
_cell_length_b 3.4724
_cell_length_c 6.0743
_cell_angle_alpha 90.00
_cell_angle_beta 106.43
_cell_angle_gamma 90.00
_symmetry_space_group_name_H-M 'P 1'
_symmetry_Int_Tables_number 1
loop_
_symmetry_equiv_pos_as_xyz
'x,y,z'
loop_
_atom_site_label
_atom_site_type_symbol
_atom_site_fract_x
_atom_site_fract_y
_atom_site_fract_z
Bi1 Bi 0.0238 0.0000 0.4565
Bi2 Bi 0.0238 0.5000 0.9565
Mn1 Mn 0.7316 0.0000 0.6910
Mn2 Mn 0.7316 0.5000 0.1910
Be1 Be 0.3981 0.5000 0.0808
Be2 Be 0.3981 0.0000 0.5808
P1 P 0.5139 0.0000 0.9513
P2 P 0.5139 0.5000 0.4513

---

# 6
# MnBeBiP GGA-PBE relaxed
# **Total energy**: -21.41 eV per formula unit
# **Space group**: Cm
# **Density of states at the Fermi level**: 2.9 states/eV/f.u.
data_MnBeBiP
_chemical_formula_sum 'Mn2 Be2 Bi2 P2'
_cell_length_a 5.7415
_cell_length_b 3.2395
_cell_length_c 7.5591
_cell_angle_alpha 90.00
_cell_angle_beta 98.71
_cell_angle_gamma 90.00
_symmetry_space_group_name_H-M 'P 1'
_symmetry_Int_Tables_number 1
loop_
_symmetry_equiv_pos_as_xyz
'x,y,z'
loop_
_atom_site_label
_atom_site_type_symbol
_atom_site_fract_x
_atom_site_fract_y
_atom_site_fract_z
Be1 Be 0.0518 0.5000 0.6462
Be2 Be 0.0518 0.0000 0.1462
Mn1 Mn 0.3421 0.0000 0.7286
Mn2 Mn 0.3421 0.5000 0.2286
P1 P 0.3660 0.5000 0.5345
P2 P 0.3660 0.0000 0.0345
Bi1 Bi 0.8277 0.0000 0.8276
Bi2 Bi 0.8277 0.5000 0.3276

---

# 7
# MnBeBiP GGA-PBE relaxed
# **Total energy**: -21.91 eV per formula unit
# **Space group**: Amm2
# **Density of states at the Fermi level**: 1.8 states/eV/f.u.
data_MnBeBiP
_chemical_formula_sum 'Mn2 Be2 Bi2 P2'
_cell_length_a 3.5317
_cell_length_b 3.2029
_cell_length_c 12.8684
_cell_angle_alpha 90.00
_cell_angle_beta 90.00
_cell_angle_gamma 90.00
_symmetry_space_group_name_H-M 'P 1'
_symmetry_Int_Tables_number 1
loop_
_symmetry_equiv_pos_as_xyz
'x,y,z'
loop_
_atom_site_label
_atom_site_type_symbol
_atom_site_fract_x
_atom_site_fract_y
_atom_site_fract_z
Bi1 Bi 0.5000 0.0000 0.1191
Bi2 Bi 0.5000 0.5000 0.6191
Mn1 Mn 0.0000 0.5000 0.9654
Mn2 Mn 0.0000 0.0000 0.4654
P1 P 0.0000 0.0000 0.8329
P2 P 0.0000 0.5000 0.3329
Be1 Be 0.5000 0.0000 0.9163
Be2 Be 0.5000 0.5000 0.4163

---

# 8
# MnBeBiP GGA-PBE relaxed
# **Total energy**: -21.67 eV per formula unit
# **Space group**: Pm
# **Density of states at the Fermi level**: 1.6 states/eV/f.u.
data_MnBeBiP
_chemical_formula_sum 'Mn1 Be1 Bi1 P1'
_cell_length_a 3.7211
_cell_length_b 4.5325
_cell_length_c 4.4717
_cell_angle_alpha 83.81
_cell_angle_beta 89.99
_cell_angle_gamma 89.99
_symmetry_space_group_name_H-M 'P 1'
_symmetry_Int_Tables_number 1
loop_
_symmetry_equiv_pos_as_xyz
'x,y,z'
loop_
_atom_site_label
_atom_site_type_symbol
_atom_site_fract_x
_atom_site_fract_y
_atom_site_fract_z
Bi1 Bi 0.5797 0.5728 0.6656
Mn1 Mn 0.0798 0.4451 0.1624
P1 P 0.0798 0.9535 0.1661
Be1 Be 0.5799 0.1063 0.3386

---

Q: Among the records above, which one has the lowest density of states at the Fermi level?
A: number 8